[1]
DFT (PBE) results for crystalline NaHgP2O at its relaxed geometry.

```
data_NaHgP2O
_chemical_formula_sum 'Na1 Hg1 P2 O1'
_cell_length_a 5.0390
_cell_length_b 5.0390
_cell_length_c 3.9698
_cell_angle_alpha 90.00
_cell_angle_beta 90.00
_cell_angle_gamma 90.00
_symmetry_space_group_name_H-M 'P 1'
_symmetry_Int_Tables_number 1
_symmetry_space_group_name_Hall 'P 1'
loop_
_atom_site_label
_atom_site_type_symbol
_atom_site_fract_x
_atom_site_fract_y
_atom_site_fract_z
P1 P 0.0000 0.5000 0.0000
P2 P 0.5000 0.0000 0.0000
Hg1 Hg 0.5000 0.5000 0.5000
O1 O 0.0000 0.0000 0.5000
Na1 Na 0.0000 0.0000 0.0000
```

[2]
DFT (PBE) results for crystalline Na2HgPO4 at its relaxed geometry.

```
data_Na2HgPO4
_chemical_formula_sum 'Na2 Hg1 P1 O4'
_cell_length_a 5.3751
_cell_length_b 5.3751
_cell_length_c 5.3751
_cell_angle_alpha 108.06
_cell_angle_beta 110.18
_cell_angle_gamma 110.18
_symmetry_space_group_name_H-M 'P 1'
_symmetry_Int_Tables_number 1
_symmetry_space_group_name_Hall 'P 1'
loop_
_atom_site_label
_atom_site_type_symbol
_atom_site_fract_x
_atom_site_fract_y
_atom_site_fract_z
Na1 Na 0.5000 0.7500 0.2500
Na2 Na 0.0000 0.0000 0.0000
Hg1 Hg 0.5000 0.2500 0.7500
P1 P 0.0000 0.5000 0.5000
O1 O 0.7092 0.5181 0.4808
O2 O 0.9627 0.1911 0.4819
O3 O 0.0373 0.5192 0.2284
O4 O 0.2908 0.7716 0.8089
```

[3]
DFT (PBE) results for crystalline NaHgP2O at its relaxed geometry.

```
data_NaHgP2O
_chemical_formula_sum 'Na1 Hg1 P2 O1'
_cell_length_a 5.1082
_cell_length_b 5.1082
_cell_length_c 4.3523
_cell_angle_alpha 90.00
_cell_angle_beta 90.00
_cell_angle_gamma 90.00
_symmetry_space_group_name_H-M 'P 1'
_symmetry_Int_Tables_number 1
_symmetry_space_group_name_Hall 'P 1'
loop_
_atom_site_label
_atom_site_type_symbol
_atom_site_fract_x
_atom_site_fract_y
_atom_site_fract_z
P1 P 0.0000 0.5000 0.0000
P2 P 0.5000 0.0000 0.0000
Hg1 Hg 0.0000 0.0000 0.0000
O1 O 0.0000 0.0000 0.5000
Na1 Na 0.5000 0.5000 0.5000
```

Density per entry: 4967, 4746, 4409 kg/m3
E_tot per entry: -0.08835, -0.19082, -0.10139 Ha/atom